(1)
! VGa2Mo, optimized geometry, DFT PBE; values from VASP
&SYSTEM
  ibrav = 0, nat = 4, ntyp = 3
/
ATOMIC_SPECIES
Mo 95.94 Mo.upf
Ga 69.72 Ga.upf
V 50.94 V.upf
CELL_PARAMETERS angstrom
4.067 0.000 0.000
0.000 3.806 0.000
0.000 0.000 3.806
ATOMIC_POSITIONS crystal
Mo 0.500 0.000 0.000
Ga 0.000 0.000 0.500
Ga 0.000 0.500 0.000
V 0.500 0.500 0.500
! * energy of formation from the pure elements: -0.05 eV/atom
! * crystal system: tetragonal


(2)
! Sc2MoPb, optimized geometry, DFT PBE; values from VASP
&SYSTEM
  ibrav = 0, nat = 8, ntyp = 3
/
ATOMIC_SPECIES
Pb 207.20 Pb.upf
Sc 44.96 Sc.upf
Mo 95.94 Mo.upf
CELL_PARAMETERS angstrom
-1.098 -0.209 4.116
0.279 -4.253 -0.141
9.250 -1.684 4.591
ATOMIC_POSITIONS crystal
Pb 0.000 0.000 0.000
Pb 0.750 0.250 0.500
Sc 0.612 0.125 0.250
Sc 0.138 0.625 0.250
Sc 0.375 0.388 0.750
Sc 0.875 0.862 0.750
Mo 0.500 0.500 0.000
Mo 0.250 0.750 0.500
! * energy of formation from the pure elements: 0.58 eV/atom
! * crystal system: tetragonal


(3)
! YSiCl2, optimized geometry, DFT PBE; values from VASP
&SYSTEM
  ibrav = 0, nat = 4, ntyp = 3
/
ATOMIC_SPECIES
Cl 35.45 Cl.upf
Si 28.09 Si.upf
Y 88.91 Y.upf
CELL_PARAMETERS angstrom
10.893 0.009 0.005
10.342 3.421 0.005
10.342 1.671 2.986
ATOMIC_POSITIONS crystal
Cl 0.027 0.027 0.027
Cl 0.473 0.473 0.473
Si 0.250 0.250 0.250
Y 0.750 0.750 0.750
! * crystal system: trigonal
! * uncorrected formation energy: -3.01 eV per formula unit


(4)
! Th4BiTe2C, optimized geometry, DFT PBE; values from VASP
&SYSTEM
  ibrav = 0, nat = 8, ntyp = 4
/
ATOMIC_SPECIES
Th 232.04 Th.upf
Bi 208.98 Bi.upf
Te 127.60 Te.upf
C 12.01 C.upf
CELL_PARAMETERS angstrom
-3.041 1.129 2.605
-5.274 -2.689 -4.991
2.014 -5.758 4.846
ATOMIC_POSITIONS crystal
Th 0.500 0.301 0.206
Th 0.500 0.699 0.794
Th 0.000 0.303 0.800
Th 0.000 0.697 0.200
Bi 0.000 0.000 0.000
Te 0.500 0.000 0.500
Te 0.000 0.500 0.500
C 0.500 0.500 0.000
! * crystal system: monoclinic
! * uncorrected formation energy: -5.79 eV per formula unit


(5)
! CuRhIN2, optimized geometry, DFT PBE; values from VASP
&SYSTEM
  ibrav = 0, nat = 5, ntyp = 4
/
ATOMIC_SPECIES
I 126.90 I.upf
Rh 102.91 Rh.upf
Cu 63.55 Cu.upf
N 14.01 N.upf
CELL_PARAMETERS angstrom
-2.139 -1.186 -2.856
1.283 -3.500 0.492
-6.265 -1.546 5.333
ATOMIC_POSITIONS crystal
I 0.000 0.000 0.500
Rh 0.000 0.000 0.000
Cu 0.500 0.500 0.500
N 0.000 0.500 0.000
N 0.500 0.000 0.000
! * crystal system: tetragonal
! * uncorrected formation energy: 5.17 eV per formula unit


(6)
! NdGdGe4, optimized geometry, DFT PBE; values from VASP
&SYSTEM
  ibrav = 0, nat = 6, ntyp = 3
/
ATOMIC_SPECIES
Ge 72.64 Ge.upf
Gd 157.25 Gd.upf
Nd 144.24 Nd.upf
CELL_PARAMETERS angstrom
-5.127 2.119 1.284
-4.270 -0.410 -3.746
-4.360 -3.517 1.026
ATOMIC_POSITIONS crystal
Ge 0.626 0.626 0.123
Ge 0.626 0.123 0.626
Ge 0.626 0.626 0.626
Ge 0.123 0.626 0.626
Gd 0.000 0.000 0.000
Nd 0.250 0.250 0.250
! * energy of formation from the pure elements: -0.37 eV/atom
! * crystal system: cubic


(7)
! YIr2Au, optimized geometry, DFT PBE; values from VASP
&SYSTEM
  ibrav = 0, nat = 4, ntyp = 3
/
ATOMIC_SPECIES
Au 196.97 Au.upf
Ir 192.22 Ir.upf
Y 88.91 Y.upf
CELL_PARAMETERS angstrom
9.730 -0.020 -0.012
9.294 2.878 -0.012
9.294 1.397 2.517
ATOMIC_POSITIONS crystal
Au 0.745 0.745 0.745
Ir 0.996 0.996 0.996
Ir 0.257 0.257 0.257
Y 0.502 0.502 0.502
! * energy of formation from the pure elements: 0.26 eV/atom
! * crystal system: trigonal


(8)
! SmCoP2Ru, optimized geometry, DFT PBE; values from VASP
&SYSTEM
  ibrav = 0, nat = 5, ntyp = 4
/
ATOMIC_SPECIES
Sm 150.36 Sm.upf
Co 58.93 Co.upf
P 30.97 P.upf
Ru 101.07 Ru.upf
CELL_PARAMETERS angstrom
3.915 0.000 0.000
0.000 3.915 0.000
-1.957 -1.957 4.956
ATOMIC_POSITIONS crystal
Sm 0.000 0.000 0.000
Co 0.750 0.250 0.500
P 0.624 0.624 0.248
P 0.376 0.376 0.752
Ru 0.250 0.750 0.500
! * energy of formation from the pure elements: -0.97 eV/atom
! * crystal system: tetragonal


(9)
! CaSiW2, optimized geometry, DFT PBE; values from VASP
&SYSTEM
  ibrav = 0, nat = 4, ntyp = 3
/
ATOMIC_SPECIES
Ca 40.08 Ca.upf
Si 28.09 Si.upf
W 183.84 W.upf
CELL_PARAMETERS angstrom
2.867 -0.005 0.000
-0.773 2.760 0.000
0.000 0.000 9.023
ATOMIC_POSITIONS crystal
Ca 0.000 0.000 0.509
Si 0.500 0.500 0.780
W 0.000 0.000 0.988
W 0.500 0.500 0.223
! * crystal system: orthorhombic
! * uncorrected formation energy: 1.35 eV per formula unit


(10)
! Sc3TcAu, optimized geometry, DFT PBE; values from VASP
&SYSTEM
  ibrav = 0, nat = 5, ntyp = 3
/
ATOMIC_SPECIES
Sc 44.96 Sc.upf
Au 196.97 Au.upf
Tc 98.00 Tc.upf
CELL_PARAMETERS angstrom
-4.416 -2.012 0.974
2.058 -4.502 0.031
0.873 0.432 4.853
ATOMIC_POSITIONS crystal
Sc 0.000 0.500 0.000
Sc 0.000 0.000 0.500
Sc 0.500 0.000 0.000
Au 0.500 0.500 0.500
Tc 0.000 0.000 0.000
! * energy of formation from the pure elements: 0.07 eV/atom
! * crystal system: cubic


(11)
! LiTlCoBr4, optimized geometry, DFT PBE; values from VASP
&SYSTEM
  ibrav = 0, nat = 14, ntyp = 4
/
ATOMIC_SPECIES
Li 6.94 Li.upf
Tl 204.38 Tl.upf
Co 58.93 Co.upf
Br 79.90 Br.upf
CELL_PARAMETERS angstrom
6.409 0.000 0.173
0.000 8.587 0.000
-2.302 0.000 8.463
ATOMIC_POSITIONS crystal
Li 0.704 0.750 0.320
Li 0.296 0.250 0.680
Tl 0.820 0.750 0.908
Tl 0.180 0.250 0.092
Co 0.209 0.750 0.302
Co 0.791 0.250 0.698
Br 0.039 0.465 0.733
Br 0.961 0.965 0.267
Br 0.961 0.535 0.267
Br 0.039 0.035 0.733
Br 0.376 0.750 0.082
Br 0.624 0.250 0.918
Br 0.496 0.750 0.530
Br 0.504 0.250 0.470
! * crystal system: monoclinic
! * uncorrected formation energy: -5.51 eV per formula unit


(12)
! Sc3ReTe, optimized geometry, DFT PBE; values from VASP
&SYSTEM
  ibrav = 0, nat = 5, ntyp = 3
/
ATOMIC_SPECIES
Sc 44.96 Sc.upf
Re 186.21 Re.upf
Te 127.60 Te.upf
CELL_PARAMETERS angstrom
5.065 0.000 0.000
0.000 5.065 0.000
0.000 0.000 5.065
ATOMIC_POSITIONS crystal
Sc 0.000 0.500 0.000
Sc 0.000 0.000 0.500
Sc 0.500 0.000 0.000
Re 0.000 0.000 0.000
Te 0.500 0.500 0.500
! * crystal system: cubic
! * uncorrected formation energy: 0.27 eV per formula unit